1.
The following is a DFT calculation (PBE) of an optimized crystal structure of Cr4OsRh7.

Computed properties:
- Energy: -8.33 eV per atom
- Total magnetic moment: 0.2 Bohr magnetons per cell
- Formation energy: 0.097 eV per atom

Unit cell a=4.9341 b=4.9892 c=7.0880 alpha=92.83 beta=105.28 gamma=93.18
Closest atoms and distances in Å follow each position.
Element x y z (fractional)
Cr  0.1269  0.1933  0.2269  1 Cr 2.38, 5 Rh 2.51-2.59, 1 Os 2.64
Cr  0.3310  0.6722  0.7798  1 Cr 2.38, 1 Os 2.48, 5 Rh 2.50-2.65
Cr  0.6690  0.3278  0.2202  1 Cr 2.38, 1 Os 2.48, 5 Rh 2.50-2.65
Cr  0.8731  0.8067  0.7731  1 Cr 2.38, 5 Rh 2.51-2.59, 1 Os 2.64
Os  0.5000  0.5000  0.5000  4 Cr 2.48-2.64, 4 Rh 2.49-2.75
Rh  0.0180  0.2609  0.5631  3 Cr 2.59-2.65, 6 Rh 2.59-2.90, 2 Os 2.75-2.82
Rh  0.2209  0.6671  0.1261  5 Cr 2.56-2.82, 4 Rh 2.62-2.82, 1 Os 2.83
Rh  0.2926  0.1564  0.9209  4 Cr 2.50-2.60, 4 Rh 2.62-2.68
Rh  0.5000  0.0000  0.5000  2 Os 2.49, 2 Cr 2.56, 2 Rh 2.72
Rh  0.7074  0.8436  0.0791  4 Cr 2.50-2.60, 4 Rh 2.62-2.68
Rh  0.7791  0.3329  0.8739  5 Cr 2.56-2.82, 4 Rh 2.62-2.82, 1 Os 2.83
Rh  0.9820  0.7391  0.4369  3 Cr 2.59-2.65, 6 Rh 2.59-2.90, 2 Os 2.75-2.82

***

2.
The following is a DFT calculation (PBE) of an optimized crystal structure of BaGe2Pd.

Computed properties:
- Energy: -4.17 eV per atom
- Total magnetic moment: 0.0 Bohr magnetons per cell
- Formation energy: -0.082 eV per atom

Unit cell a=5.0665 b=5.0665 c=5.0665 alpha=60.00 beta=60.00 gamma=60.00
Closest atoms and distances in Å follow each position.
Element x y z (fractional)
Ba  0.0000  0.0000  0.0000  8 Ge 3.10
Ge  0.2500  0.2500  0.2500  4 Ba 3.10, 4 Pd 3.10
Ge  0.7500  0.7500  0.7500  4 Pd 3.10, 4 Ba 3.10
Pd  0.5000  0.5000  0.5000  8 Ge 3.10

***

3.
The following is a DFT calculation (PBE) of an optimized crystal structure of InCu2HIr.

Computed properties:
- Energy: -4.60 eV per atom
- Total magnetic moment: 0.0 Bohr magnetons per cell

Unit cell a=4.0180 b=4.0180 c=3.8263 alpha=90.00 beta=90.00 gamma=90.00
Closest atoms and distances in Å follow each position.
Element x y z (fractional)
In  0.0000  0.0000  0.0000  8 Cu 2.77, 4 Ir 2.84
Cu  0.0000  0.5000  0.5000  2 H 2.01
Cu  0.5000  0.0000  0.5000  2 H 2.01
H  0.5000  0.5000  0.5000  2 Ir 1.91, 4 Cu 2.01
Ir  0.5000  0.5000  0.0000  2 H 1.91

***

4.
The following is a DFT calculation (PBE) of an optimized crystal structure of MgTiBr2.

Computed properties:
- Energy: -3.52 eV per atom
- Total magnetic moment: 2.8 Bohr magnetons per cell
- ΔE_f (raw): -0.3079 eV/atom
- Polymorph energy (0 for the lowest one): 309 meV/atom

Unit cell a=9.1940 b=9.1940 c=9.1940 alpha=22.80 beta=22.80 gamma=22.80
Closest atoms and distances in Å follow each position.
Element x y z (fractional)
Mg  0.0000  0.0000  0.0000  6 Br 2.65
Ti  0.5000  0.5000  0.5000  2 Br 2.85
Br  0.3938  0.3938  0.3938  3 Mg 2.65, 1 Ti 2.85
Br  0.6062  0.6062  0.6062  3 Mg 2.65, 1 Ti 2.85

***

5.
The following is a DFT calculation (PBE) of an optimized crystal structure of Pm3HgPd2.

Computed properties:
- Energy: -4.66 eV per atom
- Total magnetic moment: 0.0 Bohr magnetons per cell
- Polymorph energy (0 for the lowest one): 153 meV/atom
- Formation energy: -0.507 eV per atom

Unit cell a=7.7539 b=7.7539 c=4.5308 alpha=90.00 beta=90.00 gamma=147.97
Closest atoms and distances in Å follow each position.
Element x y z (fractional)
Pm  0.0000  0.0000  0.0000  4 Hg 3.12, 4 Pm 3.34, 4 Pd 3.39
Pm  0.1647  0.8353  0.5000  6 Pd 3.12-3.27, 2 Hg 3.26, 4 Pm 3.32-3.34
Pm  0.8353  0.1647  0.5000  6 Pd 3.12-3.27, 2 Hg 3.26, 4 Pm 3.32-3.34
Hg  0.5000  0.5000  0.5000  8 Pm 3.12-3.26, 4 Pd 3.47
Pd  0.3233  0.6767  0.0000  2 Pd 3.06, 8 Pm 3.12-3.39
Pd  0.6767  0.3233  0.0000  2 Pd 3.06, 8 Pm 3.12-3.39

***

6.
The following is a DFT calculation (PBE) of an optimized crystal structure of FeCoAg2.

Computed properties:
- Energy: -4.87 eV per atom
- Total magnetic moment: 4.0 Bohr magnetons per cell
- Formation energy: 0.443 eV per atom

Unit cell a=9.3709 b=9.3709 c=9.3709 alpha=16.66 beta=16.66 gamma=16.66
Closest atoms and distances in Å follow each position.
Element x y z (fractional)
Fe  0.0000  0.0000  0.0000  6 Fe 2.71, 6 Ag 2.81
Co  0.5000  0.5000  0.5000  6 Co 2.71, 6 Ag 2.77
Ag  0.2492  0.2492  0.2492  6 Ag 2.71, 3 Co 2.77, 3 Fe 2.81
Ag  0.7508  0.7508  0.7508  6 Ag 2.71, 3 Co 2.77, 3 Fe 2.81

***

7.
The following is a DFT calculation (PBE) of an optimized crystal structure of Tm3GaSi.

Computed properties:
- Energy: -4.84 eV per atom
- Total magnetic moment: 0.0 Bohr magnetons per cell
- ΔE_f (raw): -0.4681 eV/atom

Unit cell a=4.0159 b=7.6400 c=8.1304 alpha=87.76 beta=89.99 gamma=74.81
Closest atoms and distances in Å follow each position.
Element x y z (fractional)
Tm  0.0481  0.4034  0.1839  4 Si 2.97-3.16, 1 Ga 2.99, 1 Tm 3.26
Tm  0.2355  0.0283  0.8236  3 Si 2.96-2.97, 3 Ga 3.03-3.22
Tm  0.4018  0.6938  0.4162  3 Ga 2.88-2.94, 1 Si 2.89, 1 Tm 3.12
Tm  0.5982  0.3062  0.5838  3 Ga 2.88-2.94, 1 Si 2.89, 1 Tm 3.12
Tm  0.7645  0.9717  0.1764  3 Si 2.96-2.97, 3 Ga 3.03-3.22
Tm  0.9519  0.5966  0.8161  4 Si 2.97-3.16, 1 Ga 2.99, 1 Tm 3.26
Ga  0.2048  0.0912  0.4294  2 Ga 2.65, 3 Tm 2.88-2.94
Ga  0.7952  0.9088  0.5706  2 Ga 2.65, 3 Tm 2.88-2.94
Si  0.3941  0.7105  0.0609  8 Tm 2.89-3.16
Si  0.6059  0.2895  0.9391  8 Tm 2.89-3.16

***

8.
The following is a DFT calculation (PBE) of an optimized crystal structure of CaMgBe.

Computed properties:
- Energy: -2.28 eV per atom
- Total magnetic moment: 0.0 Bohr magnetons per cell
- Polymorph energy (0 for the lowest one): 50 meV/atom
- Formation energy: 0.161 eV per atom

Unit cell a=6.1576 b=6.1576 c=5.7447 alpha=95.21 beta=95.21 gamma=39.36
Closest atoms and distances in Å follow each position.
Element x y z (fractional)
Ca  0.0000  0.0000  0.0000  3 Be 2.96-3.21, 1 Mg 3.27
Ca  0.5812  0.5812  0.5058  3 Be 3.02-3.24, 3 Mg 3.16-3.38
Mg  0.2750  0.2750  0.8061  3 Be 2.57-2.73
Mg  0.8502  0.8502  0.4549  3 Be 2.58-2.69
Be  0.2375  0.2375  0.2392  2 Be 2.28
Be  0.7116  0.7116  0.0764  2 Be 2.28

***

9.
The following is a DFT calculation (PBE) of an optimized crystal structure of Li3Al2CdAg3.

Computed properties:
- Energy: -2.71 eV per atom
- Total magnetic moment: 0.0 Bohr magnetons per cell
- Formation energy: -0.184 eV per atom

Unit cell a=7.7670 b=7.7670 c=2.8694 alpha=90.00 beta=90.00 gamma=120.00
Closest atoms and distances in Å follow each position.
Element x y z (fractional)
Li  0.0000  0.6955  0.0000  2 Al 2.71, 2 Cd 2.77, 2 Ag 2.85, 2 Li 2.87
Li  0.3045  0.3045  0.0000  2 Al 2.71, 2 Cd 2.77, 2 Ag 2.85, 2 Li 2.87
Li  0.6955  0.0000  0.0000  2 Al 2.71, 2 Cd 2.77, 2 Ag 2.85, 2 Li 2.87
Al  0.3333  0.6667  0.0000  3 Li 2.71, 6 Ag 2.82, 2 Al 2.87
Al  0.6667  0.3333  0.0000  3 Li 2.71, 6 Ag 2.82, 2 Al 2.87
Cd  0.0000  0.0000  0.5000  6 Li 2.77, 2 Cd 2.87, 3 Ag 2.94
Ag  0.0000  0.3789  0.5000  4 Al 2.82, 6 Li 2.85-3.06, 2 Ag 2.87, 1 Cd 2.94
Ag  0.3789  0.0000  0.5000  4 Al 2.82, 6 Li 2.85-3.06, 2 Ag 2.87, 1 Cd 2.94
Ag  0.6211  0.6211  0.5000  4 Al 2.82, 6 Li 2.85-3.06, 2 Ag 2.87, 1 Cd 2.94

***

10.
The following is a DFT calculation (PBE) of an optimized crystal structure of Sm2ErAl3.

Computed properties:
- Energy: -4.59 eV per atom
- Total magnetic moment: 0.0 Bohr magnetons per cell
- Polymorph energy (0 for the lowest one): 0 meV/atom
- Formation energy: -0.382 eV per atom

Unit cell a=3.6262 b=3.6262 c=11.0186 alpha=90.00 beta=90.00 gamma=90.00
Closest atoms and distances in Å follow each position.
Element x y z (fractional)
Sm  0.0000  0.0000  0.1712  8 Al 3.18-3.19
Sm  0.0000  0.0000  0.8288  8 Al 3.18-3.19
Er  0.0000  0.0000  0.5000  8 Al 3.09
Al  0.5000  0.5000  0.0000  8 Sm 3.18
Al  0.5000  0.5000  0.3440  4 Er 3.09, 4 Sm 3.19, 1 Al 3.44
Al  0.5000  0.5000  0.6560  4 Er 3.09, 4 Sm 3.19, 1 Al 3.44

***

11.
The following is a DFT calculation (PBE) of an optimized crystal structure of TlCuCl3.

Computed properties:
- Energy: -3.08 eV per atom
- Total magnetic moment: 0.0 Bohr magnetons per cell
- ΔE_f (raw): -0.6781 eV/atom

Unit cell a=10.1139 b=5.9803 c=9.5266 alpha=90.00 beta=115.84 gamma=90.00
Closest atoms and distances in Å follow each position.
Element x y z (fractional)
Tl  0.1760  0.2483  0.0985  5 Cl 3.09-3.42
Tl  0.1760  0.2517  0.5985  5 Cl 3.09-3.42
Tl  0.8240  0.7483  0.4015  5 Cl 3.09-3.42
Tl  0.8240  0.7517  0.9015  5 Cl 3.09-3.42
Cu  0.3622  0.7484  0.4376  4 Cl 2.21-2.38
Cu  0.3622  0.7516  0.9376  4 Cl 2.21-2.38
Cu  0.6378  0.2484  0.0624  4 Cl 2.21-2.38
Cu  0.6378  0.2516  0.5624  4 Cl 2.21-2.38
Cl  0.1198  0.7427  0.3244  1 Cu 2.21
Cl  0.1198  0.7573  0.8244  1 Cu 2.21
Cl  0.3554  0.7500  0.1845  2 Cu 2.38
Cl  0.3554  0.7500  0.6845  2 Cu 2.38
Cl  0.3924  0.2492  0.4485  1 Cu 2.23
Cl  0.3924  0.2508  0.9485  1 Cu 2.23
Cl  0.6076  0.7492  0.0515  1 Cu 2.23
Cl  0.6076  0.7508  0.5515  1 Cu 2.23
Cl  0.6446  0.2500  0.3155  2 Cu 2.38
Cl  0.6446  0.2500  0.8155  2 Cu 2.38
Cl  0.8802  0.2427  0.1756  1 Cu 2.21
Cl  0.8802  0.2573  0.6756  1 Cu 2.21

***

12.
The following is a DFT calculation (PBE) of an optimized crystal structure of Pm3Ho3Er5.

Computed properties:
- Energy: -3.80 eV per atom
- Total magnetic moment: 0.0 Bohr magnetons per cell
- Formation energy: 0.822 eV per atom

Unit cell a=9.6210 b=9.6210 c=5.4181 alpha=90.00 beta=90.00 gamma=120.00
Closest atoms and distances in Å follow each position.
Element x y z (fractional)
Pm  0.0000  0.3674  0.0000  4 Er 3.06-3.16, 2 Ho 3.23
Pm  0.3674  0.0000  0.0000  4 Er 3.06-3.16, 2 Ho 3.23
Pm  0.6326  0.6326  0.0000  4 Er 3.06-3.16, 2 Ho 3.23
Ho  0.0000  0.5507  0.5000  2 Pm 3.23, 2 Er 3.24
Ho  0.4493  0.4493  0.5000  2 Pm 3.23, 2 Er 3.24
Ho  0.5507  0.0000  0.5000  2 Pm 3.23, 2 Er 3.24
Er  0.0000  0.7352  0.0000  2 Pm 3.16, 2 Ho 3.24
Er  0.2648  0.2648  0.0000  2 Pm 3.16, 2 Ho 3.24
Er  0.3333  0.6667  0.0000  3 Pm 3.06
Er  0.6667  0.3333  0.0000  3 Pm 3.06
Er  0.7352  0.0000  0.0000  2 Pm 3.16, 2 Ho 3.24